1.
VASP calculation (PBE) on a geometry-optimized Na2ThInS4 structure.

```
Na2ThInS4
1.0
7.0194 0.0000 0.0000
0.0000 4.1019 0.0000
-2.3677 0.0000 6.7615
Na Th In S
2 1 1 4
Cartesian
0.0000 0.0000 0.0000
-1.1838 2.0509 3.3808
2.3259 0.0000 3.3808
3.5097 2.0509 0.0000
1.2607 2.0509 1.7730
0.1321 0.0000 5.0674
4.5197 0.0000 1.6941
3.3910 2.0509 4.9885
```

Output
Raw formation energy: -1.287 eV/atom
Calculated total energy: -4.9506 eV per atom

2.
VASP calculation (PBE) on a geometry-optimized TbZnGaSn structure.

```
TbZnGaSn
1.0
4.3521 0.0000 0.0000
0.0000 4.3561 0.0000
0.0000 0.0000 4.5125
Tb Zn Ga Sn
1 1 1 1
Cartesian
0.0000 0.0000 0.0000
2.1761 0.0000 2.2563
2.1761 2.1781 0.0000
0.0000 2.1781 2.2563
```

Output
Calculated total energy: -3.6940 eV per atom

3.
VASP calculation (PBE) on a geometry-optimized LiSe3S structure.

```
LiSe3S
1.0
4.9159 0.0000 0.0000
0.0000 4.9159 0.0000
0.0000 0.0000 4.9159
Li Se S
1 3 1
Cartesian
0.0000 0.0000 0.0000
0.0000 2.4579 2.4579
2.4579 0.0000 2.4579
2.4579 2.4579 0.0000
2.4579 2.4579 2.4579
```

Output
Raw formation energy: 0.171 eV/atom
ΔE to the lowest computed polymorph: 0.0000 eV/atom
Calculated total energy: -3.1281 eV per atom

4.
VASP calculation (PBE) on a geometry-optimized VNi4Pt3 structure.

```
VNi4Pt3
1.0
9.7135 -1.3599 0.0000
9.7135 1.3599 0.0000
-0.9769 0.0000 4.2461
V Ni Pt
1 4 3
Cartesian
0.0000 0.0000 0.0000
3.9473 0.0000 0.6269
6.8526 0.0000 4.1208
11.5975 0.0000 0.1253
14.5027 0.0000 3.6192
6.1661 0.0000 1.7317
9.2250 0.0000 2.1230
12.2839 0.0000 2.5144
```

Output
ΔE to the lowest computed polymorph: 0.3476 eV/atom
Calculated total energy: -6.1806 eV per atom

5.
VASP calculation (PBE) on a geometry-optimized Ca4Cd5Hg structure.

```
Ca4Cd5Hg
1.0
7.9164 -2.6352 0.0000
7.9164 2.6352 0.0000
-1.7889 0.0000 6.4482
Ca Cd Hg
4 5 1
Cartesian
0.8414 0.0000 2.5552
4.5377 0.0000 1.2484
9.5062 0.0000 5.1998
13.2026 0.0000 3.8931
-0.0952 0.0000 5.9053
3.4960 0.0000 4.4871
7.9164 0.0000 0.0000
10.5480 0.0000 1.9611
14.1391 0.0000 0.5429
7.0220 0.0000 3.2241
```

Output
Calculated total energy: -1.6196 eV per atom

6.
VASP calculation (PBE) on a geometry-optimized Co4C3 structure.

```
Co4C3
1.0
4.1513 0.0000 0.0000
0.0000 4.1513 0.0000
0.0000 0.0000 4.1513
Co C
4 3
Cartesian
1.0202 1.0202 3.1310
1.0202 3.1310 1.0202
3.1310 1.0202 1.0202
3.1310 3.1310 3.1310
0.0000 2.0756 2.0756
2.0756 0.0000 2.0756
2.0756 2.0756 0.0000
```

Output
ΔE to the lowest computed polymorph: 0.0131 eV/atom
Calculated total energy: -7.4176 eV per atom

7.
VASP calculation (PBE) on a geometry-optimized NaAlBi3 structure.

```
NaAlBi3
1.0
5.5386 0.0000 0.0000
0.0000 5.5386 0.0000
0.0000 0.0000 5.5386
Na Al Bi
1 1 3
Cartesian
0.0000 0.0000 0.0000
2.7693 2.7693 2.7693
0.0000 0.0000 2.7693
0.0000 2.7693 0.0000
2.7693 0.0000 0.0000
```

Output
ΔE to the lowest computed polymorph: 0.4794 eV/atom
Calculated total energy: -2.5923 eV per atom

8.
VASP calculation (PBE) on a geometry-optimized ZrInMo2 structure.

```
ZrInMo2
1.0
3.2319 0.0000 0.0000
0.0000 3.2319 0.0000
0.0000 0.0000 7.2890
Zr In Mo
1 1 2
Cartesian
0.0000 0.0000 0.0000
1.6159 1.6159 2.2003
0.0000 0.0000 4.0898
1.6159 1.6159 5.4521
```

Output
Calculated total energy: -8.2522 eV per atom

9.
VASP calculation (PBE) on a geometry-optimized RbBeTeBr structure.

```
RbBeTeBr
1.0
4.0829 0.0000 0.0000
-0.0091 5.1584 0.0000
-0.2718 -1.5733 6.8736
Rb Be Te Br
1 1 1 1
Cartesian
0.0000 0.0000 0.0000
1.7383 1.9262 3.7101
3.7804 2.5794 2.7005
1.7507 1.0230 5.6518
```

Output
Raw formation energy: -0.876 eV/atom
ΔE to the lowest computed polymorph: 0.0203 eV/atom
Calculated total energy: -3.2532 eV per atom

10.
VASP calculation (PBE) on a geometry-optimized BaCdInPd3 structure.

```
BaCdInPd3
1.0
3.5315 -6.6562 0.0000
3.5315 6.6562 0.0000
0.0000 0.0000 6.3090
Ba Cd In Pd
2 2 2 6
Cartesian
3.5315 3.8597 4.7317
3.5315 -3.8597 1.5772
3.5315 0.4817 4.7317
3.5315 -0.4817 1.5772
3.5315 4.9307 1.5772
3.5315 -4.9307 4.7317
1.4023 0.0000 0.0000
1.4023 0.0000 3.1545
3.5315 2.2719 1.5772
3.5315 -2.2719 4.7317
5.6607 0.0000 0.0000
5.6607 0.0000 3.1545
```

Output
Calculated total energy: -3.8482 eV per atom

11.
VASP calculation (PBE) on a geometry-optimized Y2TiSb2 structure.

```
Y2TiSb2
1.0
7.6553 0.0000 0.0000
0.0000 7.6553 0.0000
0.0000 0.0000 4.3468
Y Ti Sb
4 2 4
Cartesian
1.2374 2.5902 0.0000
2.5902 6.4179 0.0000
5.0651 1.2374 0.0000
6.4179 5.0651 0.0000
0.0000 0.0000 2.1734
3.8277 3.8277 2.1734
1.1330 4.9607 2.1734
2.6946 1.1330 2.1734
4.9607 6.5223 2.1734
6.5223 2.6946 2.1734
```

Output
Raw formation energy: -0.746 eV/atom
Calculated total energy: -6.5592 eV per atom

12.
VASP calculation (PBE) on a geometry-optimized AlHgAsSe2 structure.

```
AlHgAsSe2
1.0
5.3383 0.0000 0.0000
0.0000 5.3383 0.0000
0.0000 0.0000 5.2213
Al Hg As Se
1 1 1 2
Cartesian
0.0000 0.0000 0.0000
2.6691 2.6691 2.6107
2.6691 2.6691 0.0000
0.0000 2.6691 2.6107
2.6691 0.0000 2.6107
```

Output
Raw formation energy: 0.812 eV/atom
ΔE to the lowest computed polymorph: 0.5518 eV/atom
Calculated total energy: -2.3203 eV per atom

no.,volume (A^3/atom)
1,24.3
2,21.4
3,23.8
4,14.0
5,26.9
6,10.2
7,34.0
8,19.0
9,36.2
10,24.7
11,25.5
12,29.8